Entry 1:
## SiPtF (PBE)

Data for crystalline SiPtF at its relaxed geometry.

The structure in CIF format:
```
data_SiPtF
_chemical_formula_sum 'Si2 Pt2 F2'
_cell_length_a 3.429
_cell_length_b 5.087
_cell_length_c 6.805
_cell_angle_alpha 77.31
_cell_angle_beta 89.30
_cell_angle_gamma 89.99
_space_group_name_H-M_alt 'P -1'
_space_group_IT_number 2
loop_
_space_group_symop_operation_xyz
'x,y,z'
'-x,-y,-z'
loop_
_atom_site_label
_atom_site_fract_x
_atom_site_fract_y
_atom_site_fract_z
Si1 0.246 0.470 0.177
Pt1 0.252 0.218 0.927
F1 0.241 0.279 0.401
```


Entry 2:
## SiPtF2 (PBE)

Data for crystalline SiPtF2 at its relaxed geometry.

The structure in CIF format:
```
data_SiPtF2
_chemical_formula_sum 'Si3 Pt3 F6'
_cell_length_a 2.7599
_cell_length_b 2.7599
_cell_length_c 23.6548
_cell_angle_alpha 90.00
_cell_angle_beta 90.00
_cell_angle_gamma 120.00
_space_group_name_H-M_alt 'R -3 m'
_space_group_IT_number 166
_space_group_name_Hall '-R 3 2"'
loop_
_atom_site_label
_atom_site_fract_x
_atom_site_fract_y
_atom_site_fract_z
Si1 0.0000 0.0000 0.0000
Pt1 0.0000 0.0000 0.5000
F1 0.0000 0.0000 0.4144
```


Entry 3:
## Si3PtF (PBE)

Data for crystalline Si3PtF at its relaxed geometry.

The structure in CIF format:
```
data_Si3PtF
_chemical_formula_sum 'Si3 Pt1 F1'
_cell_length_a 4.738
_cell_length_b 4.738
_cell_length_c 4.738
_cell_angle_alpha 90.00
_cell_angle_beta 90.00
_cell_angle_gamma 90.00
_space_group_name_H-M_alt 'P m -3 m'
_space_group_IT_number 221
_space_group_name_Hall '-P 4 2 3'
loop_
_atom_site_label
_atom_site_fract_x
_atom_site_fract_y
_atom_site_fract_z
Si1 0.000 0.000 0.500
Pt1 0.000 0.000 0.000
F1 0.500 0.500 0.500
```


Entry 4:
## SiPt2F (PBE)

Data for crystalline SiPt2F at its relaxed geometry.

The structure in CIF format:
```
data_SiPt2F
_chemical_formula_sum 'Si4 Pt8 F4'
_cell_length_a 5.952
_cell_length_b 5.952
_cell_length_c 5.952
_cell_angle_alpha 90.00
_cell_angle_beta 90.00
_cell_angle_gamma 90.00
_space_group_name_H-M_alt 'F m -3 m'
_space_group_IT_number 225
_space_group_name_Hall '-F 4 2 3'
loop_
_atom_site_label
_atom_site_fract_x
_atom_site_fract_y
_atom_site_fract_z
Si1 0.000 0.000 0.000
Pt1 0.250 0.250 0.250
F1 0.000 0.000 0.500
```


no.,ΔE_f (raw) (eV/atom),magnetization (Bohr magnetons per cell)
1,-1.385,0.00
2,-0.802,0.00
3,0.292,1.31
4,-0.586,0.00